A plane-wave DFT calculation with GGA-PBE was carried out for an optimized crystal structure of V2ZnB.

```
V2ZnB
1.0
0.000 2.845 2.845
2.845 0.000 2.845
2.845 2.845 0.000
V Zn B
2 1 1
Cartesian
1.423 1.423 1.423
4.268 4.268 4.268
0.000 0.000 0.000
2.845 2.845 2.845
```

## Properties
The total energy is -6.259 eV per atom. As for the space group: Fm-3m. The value obtained for the energy above the most stable polymorph in this dataset is 96 meV/atom. The size of the total moment comes out at 0.00 μB per formula unit. The density of states at the Fermi level is 2.9 states/eV/f.u.